# 1
The following is a DFT calculation (GGA-PBE) of crystalline Sb2Rh at its relaxed geometry.

Fermi-level density of states: 2.16 states/eV/cell
raw formation energy: 0.450 eV per atom
M_tot: 0.000 μB/f.u.

Unit cell a=5.006 b=5.006 c=3.043 alpha=90.00 beta=90.00 gamma=120.00
Element x y z (fractional)
Sb (0.333, 0.667, 0.000)
Sb (0.667, 0.333, 0.000)
Rh (0.000, 0.000, 0.500)


# 2
The following is a DFT calculation (GGA-PBE) of crystalline Dy15Ho2Tm2 at its relaxed geometry.

Fermi-level density of states: 31.95 states/eV/cell
M_tot: 0.000 μB/f.u.
formation energy: 0.291 eV/atom

Unit cell a=8.660 b=8.660 c=8.660 alpha=79.31 beta=79.31 gamma=79.31
Element x y z (fractional)
Dy (0.000, 0.000, 0.500)
Dy (0.000, 0.298, 0.702)
Dy (0.000, 0.500, 0.000)
Dy (0.000, 0.702, 0.298)
Dy (0.149, 0.628, 0.628)
Dy (0.298, 0.000, 0.702)
Dy (0.298, 0.702, 0.000)
Dy (0.372, 0.372, 0.851)
Dy (0.372, 0.851, 0.372)
Dy (0.500, 0.000, 0.000)
Dy (0.628, 0.149, 0.628)
Dy (0.628, 0.628, 0.149)
Dy (0.702, 0.000, 0.298)
Dy (0.702, 0.298, 0.000)
Dy (0.851, 0.372, 0.372)
Ho (0.321, 0.321, 0.321)
Ho (0.679, 0.679, 0.679)
Tm (0.095, 0.095, 0.095)
Tm (0.905, 0.905, 0.905)


# 3
The following is a DFT calculation (GGA-PBE) of crystalline Tm3BiO6 at its relaxed geometry.

Fermi-level density of states: 0.00 states/eV/cell
raw formation energy: -2.983 eV per atom
M_tot: 0.000 μB/f.u.

Unit cell a=6.727 b=6.727 c=6.727 alpha=91.14 beta=91.14 gamma=91.14
Element x y z (fractional)
Tm (0.053, 0.751, 0.564)
Tm (0.249, 0.436, 0.947)
Tm (0.436, 0.947, 0.249)
Tm (0.564, 0.053, 0.751)
Tm (0.751, 0.564, 0.053)
Tm (0.947, 0.249, 0.436)
Bi (0.000, 0.000, 0.000)
Bi (0.500, 0.500, 0.500)
O (0.021, 0.670, 0.888)
O (0.112, 0.979, 0.330)
O (0.173, 0.422, 0.607)
O (0.330, 0.112, 0.979)
O (0.393, 0.827, 0.578)
O (0.422, 0.607, 0.173)
O (0.578, 0.393, 0.827)
O (0.607, 0.173, 0.422)
O (0.670, 0.888, 0.021)
O (0.827, 0.578, 0.393)
O (0.888, 0.021, 0.670)
O (0.979, 0.330, 0.112)


# 4
The following is a DFT calculation (GGA-PBE) of crystalline NbTlH2 at its relaxed geometry.

Fermi-level density of states: 4.23 states/eV/cell
M_tot: 0.892 μB/f.u.
DFT total energy: -3.85 eV per atom

Unit cell a=4.111 b=4.111 c=4.111 alpha=60.00 beta=60.00 gamma=60.00
Element x y z (fractional)
Nb (0.000, 0.000, 0.000)
Tl (0.500, 0.500, 0.500)
H (0.250, 0.250, 0.250)
H (0.750, 0.750, 0.750)


# 5
The following is a DFT calculation (GGA-PBE) of crystalline MgV4Os5 at its relaxed geometry.

Fermi-level density of states: 5.93 states/eV/cell
M_tot: 0.000 μB/f.u.
formation energy: -0.233 eV/atom

Unit cell a=3.021 b=3.021 c=15.459 alpha=90.00 beta=90.00 gamma=90.00
Element x y z (fractional)
Mg (0.000, 0.000, 0.000)
V (0.000, 0.000, 0.201)
V (0.000, 0.000, 0.401)
V (0.000, 0.000, 0.599)
V (0.000, 0.000, 0.799)
Os (0.500, 0.500, 0.114)
Os (0.500, 0.500, 0.306)
Os (0.500, 0.500, 0.500)
Os (0.500, 0.500, 0.694)
Os (0.500, 0.500, 0.886)


# 6
The following is a DFT calculation (GGA-PBE) of crystalline CaNiSn2Hg at its relaxed geometry.

Fermi-level density of states: 2.04 states/eV/cell
M_tot: 0.000 μB/f.u.
formation energy: -0.227 eV/atom

Unit cell a=4.904 b=4.904 c=5.463 alpha=90.00 beta=90.00 gamma=90.00
Element x y z (fractional)
Ca (0.000, 0.000, 0.000)
Ni (0.000, 0.000, 0.500)
Sn (0.000, 0.500, 0.500)
Sn (0.500, 0.000, 0.500)
Hg (0.500, 0.500, 0.000)